The following is a DFT calculation (PBE) of a relaxed structure of Cs2TlTcO6.

Lattice parameters (Å, degrees): 6.6355 6.6355 5.8795 90.00 90.00 120.00
Space group P-3m1 (No. 164)
Asymmetric unit:
Cs  0.3333  0.6667  0.1670 [2 per cell]
Tl  0.0000  0.0000  0.5000 [1 per cell]
Tc  0.0000  0.0000  0.0000 [1 per cell]
O  0.1338  0.2675  0.8047 [6 per cell]

Results
mass density: 4.92 g cm⁻³
formation energy without anion corrections: -1108 meV/atom
total DFT energy (no corrections): -5.527 eV per atom

---

The following is a DFT calculation (PBE) of a relaxed structure of Tb6Er3Sc2.

Lattice parameters (Å, degrees): 6.071 10.520 11.170 90.00 100.55 90.00
Space group C2/m (No. 12)
Asymmetric unit:
Tb  0.246  0.000  0.239 [4 per cell]
Tb  0.247  0.333  0.239 [8 per cell]
Er  0.000  0.000  0.500 [2 per cell]
Er  0.000  0.334  0.500 [4 per cell]
Sc  0.000  0.166  0.000 [4 per cell]

Results
mass density: 7.32 g cm⁻³
energy relative to the elements: 203.3 meV/atom
E above lowest polymorph: 0 kJ/mol of formula units
total DFT energy (no corrections): -4.718 eV per atom